CdInPb2 | PBE | relaxed

Unit cell a=3.4354 b=3.4354 c=10.9579 alpha=90.00 beta=90.00 gamma=116.79
With the nearest neighbours (Å) after each atom.
Atoms (fractional coordinates):
Cd 0.0000 0.0000 0.0000  2 In 3.08, 2 Pb 3.21, 4 Cd 3.44
In 0.5000 0.5000 0.2276  2 Cd 3.08, 2 Pb 3.34, 4 In 3.44
Pb 0.0000 0.0000 0.4842  2 In 3.34, 8 Pb 3.44-3.60
Pb 0.5000 0.5000 0.7578  2 Cd 3.21, 6 Pb 3.44-3.50

- V: 28.861 A^3/atom
- Formation energy: 0.2 eV per formula unit
- E: -2.722 eV/atom
- Relative energy among the computed polymorphs: 17 meV/atom
- Space-group type: Cmm2